1.
A plane-wave DFT calculation with SCAN was carried out for Zr4CoP at its PBEsol-relaxed geometry.

Cell and atoms, written as POSCAR:
```
Zr4CoP
1.0
6.321 0.000 0.000
0.000 6.321 0.000
0.000 0.000 5.353
Zr Co P
8 2 2
direct
0.160 0.332 0.000
0.160 0.668 0.500
0.332 0.160 0.500
0.332 0.840 0.000
0.668 0.160 0.000
0.668 0.840 0.500
0.840 0.332 0.500
0.840 0.668 0.000
0.000 0.000 0.250
0.000 0.000 0.750
0.500 0.500 0.250
0.500 0.500 0.750
```

Computed properties:
Fermi-level density of states: 6.029 states/eV/f.u.

=====

2.
A plane-wave DFT calculation with SCAN was carried out for LaNiRh2 at its PBEsol-relaxed geometry.

Cell and atoms, written as POSCAR:
```
LaNiRh2
1.0
2.738 -4.608 0.000
2.738 4.608 0.000
-1.447 0.000 2.555
La Ni Rh
1 1 2
direct
0.000 0.000 0.000
0.500 0.500 0.000
0.000 0.500 0.500
0.500 0.000 0.500
```

Computed properties:
Fermi-level density of states: 3.163 states/eV/f.u.
polymorph energy (0 for the lowest one): 209 meV/atom

=====

3.
A plane-wave DFT calculation with SCAN was carried out for LiCdBr2 at its PBEsol-relaxed geometry.

Cell and atoms, written as POSCAR:
```
LiCdBr2
1.0
4.171 0.000 0.000
0.000 5.806 0.000
0.000 0.000 4.266
Li Cd Br
1 1 2
direct
0.000 0.000 0.000
0.500 0.500 0.406
0.000 0.500 0.902
0.500 0.000 0.380
```

Computed properties:
formation energy from raw total energies: -0.955 eV per atom
Fermi-level density of states: 0.889 states/eV/f.u.
polymorph energy (0 for the lowest one): 0 meV/atom

=====

4.
A plane-wave DFT calculation with SCAN was carried out for TiH9S2O12 at its PBEsol-relaxed geometry.

Cell and atoms, written as POSCAR:
```
TiH9S2O12
1.0
9.714 0.000 0.000
0.000 18.175 0.000
0.000 0.000 5.445
Ti H S O
4 36 8 48
direct
0.000 0.000 0.000
0.000 0.500 0.000
0.500 0.000 0.500
0.500 0.500 0.500
0.005 0.250 0.066
0.076 0.105 0.327
0.076 0.395 0.327
0.088 0.600 0.644
0.088 0.900 0.644
0.166 0.705 0.942
0.166 0.795 0.942
0.190 0.205 0.005
0.190 0.295 0.005
0.310 0.705 0.505
0.310 0.795 0.505
0.334 0.205 0.442
0.334 0.295 0.442
0.412 0.100 0.144
0.412 0.400 0.144
0.424 0.605 0.827
0.424 0.895 0.827
0.495 0.750 0.566
0.505 0.250 0.434
0.576 0.105 0.173
0.576 0.395 0.173
0.588 0.600 0.856
0.588 0.900 0.856
0.666 0.705 0.558
0.666 0.795 0.558
0.690 0.205 0.495
0.690 0.295 0.495
0.810 0.705 0.995
0.810 0.795 0.995
0.834 0.205 0.058
0.834 0.295 0.058
0.912 0.100 0.356
0.912 0.400 0.356
0.924 0.605 0.673
0.924 0.895 0.673
0.995 0.750 0.934
0.237 0.092 0.713
0.237 0.408 0.713
0.263 0.592 0.213
0.263 0.908 0.213
0.737 0.092 0.787
0.737 0.408 0.787
0.763 0.592 0.287
0.763 0.908 0.287
0.010 0.588 0.755
0.010 0.912 0.755
0.094 0.066 0.764
0.094 0.434 0.764
0.111 0.750 0.898
0.136 0.250 0.055
0.177 0.525 0.173
0.177 0.975 0.173
0.209 0.634 0.423
0.209 0.866 0.423
0.228 0.138 0.488
0.228 0.362 0.488
0.272 0.638 0.988
0.272 0.862 0.988
0.291 0.134 0.923
0.291 0.366 0.923
0.323 0.025 0.673
0.323 0.475 0.673
0.364 0.750 0.555
0.389 0.250 0.398
0.406 0.566 0.264
0.406 0.934 0.264
0.490 0.088 0.255
0.490 0.412 0.255
0.510 0.588 0.745
0.510 0.912 0.745
0.594 0.066 0.736
0.594 0.434 0.736
0.611 0.750 0.602
0.636 0.250 0.445
0.677 0.525 0.327
0.677 0.975 0.327
0.709 0.634 0.077
0.709 0.866 0.077
0.728 0.138 0.012
0.728 0.362 0.012
0.772 0.638 0.512
0.772 0.862 0.512
0.791 0.134 0.577
0.791 0.366 0.577
0.823 0.025 0.827
0.823 0.475 0.827
0.864 0.750 0.945
0.889 0.250 0.102
0.906 0.566 0.236
0.906 0.934 0.236
0.990 0.088 0.245
0.990 0.412 0.245
```

=====

5.
A plane-wave DFT calculation with SCAN was carried out for Zr2SbBr at its PBEsol-relaxed geometry.

Cell and atoms, written as POSCAR:
```
Zr2SbBr
1.0
3.206 0.000 0.000
0.000 3.206 0.000
0.000 0.000 9.558
Zr Sb Br
2 1 1
direct
0.000 0.000 0.000
0.500 0.500 0.240
0.500 0.500 0.770
0.000 0.000 0.417
```

Computed properties:
formation energy from raw total energies: -0.562 eV per atom
Fermi-level density of states: 1.021 states/eV/f.u.
polymorph energy (0 for the lowest one): 0 meV/atom

=====

6.
A plane-wave DFT calculation with SCAN was carried out for Co3W3C at its PBEsol-relaxed geometry.

Cell and atoms, written as POSCAR:
```
Co3W3C
1.0
0.000 5.472 5.472
5.472 0.000 5.472
5.472 5.472 0.000
Co W C
12 12 4
direct
0.000 0.000 0.000
0.000 0.000 0.500
0.000 0.500 0.000
0.116 0.795 0.795
0.205 0.205 0.205
0.205 0.205 0.884
0.205 0.884 0.205
0.500 0.000 0.000
0.795 0.116 0.795
0.795 0.795 0.116
0.795 0.795 0.795
0.884 0.205 0.205
0.171 0.171 0.579
0.171 0.579 0.171
0.171 0.579 0.579
0.421 0.421 0.829
0.421 0.829 0.421
0.421 0.829 0.829
0.579 0.171 0.171
0.579 0.171 0.579
0.579 0.579 0.171
0.829 0.421 0.421
0.829 0.421 0.829
0.829 0.829 0.421
0.000 0.500 0.500
0.500 0.000 0.500
0.500 0.500 0.000
0.500 0.500 0.500
```

Computed properties:
Fermi-level density of states: 5.031 states/eV/f.u.

=====

| no. | total magnetization (μB/f.u.) | total energy (eV per atom) |
| --- | --- | --- |
| 1 | 0.00 | -25.73 |
| 2 | 0.46 | -31.74 |
| 3 | 0.00 | -18.89 |
| 4 | 1.00 | -7.35 |
| 5 | 0.00 | -30.09 |
| 6 | 4.40 | -38.63 |